Run a
VASP calculation (PBE-GGA) on a geometry-optimized LaIr2Cl structure.

Cell and atoms, written as CIF:
```
data_LaIr2Cl
_space_group_name_H-M_alt 'P 1 2/m 1'
_space_group_IT_number 10
_cell_length_a 3.051
_cell_length_b 5.601
_cell_length_c 4.601
_cell_angle_alpha 90.00
_cell_angle_beta 90.48
_cell_angle_gamma 90.00
loop_
_space_group_symop_operation_xyz
'x,y,z'
'-x,-y,-z'
'-x,y,-z'
'x,-y,z'
loop_
_atom_site_label
_atom_site_type_symbol
_atom_site_fract_x
_atom_site_fract_y
_atom_site_fract_z
La1 La 0.000 0.000 0.000
Ir1 Ir 0.263 0.500 0.750
Cl1 Cl 0.500 0.000 0.500
```

Run b
VASP calculation (PBE-GGA) on a geometry-optimized LaIr2Cl structure.

Cell and atoms, written as CIF:
```
data_LaIr2Cl
_space_group_name_H-M_alt 'I -4 2 d'
_space_group_IT_number 122
_space_group_name_Hall 'I -4 2bw'
_cell_length_a 4.990
_cell_length_b 4.990
_cell_length_c 15.241
_cell_angle_alpha 90.00
_cell_angle_beta 90.00
_cell_angle_gamma 90.00
loop_
_atom_site_label
_atom_site_type_symbol
_atom_site_fract_x
_atom_site_fract_y
_atom_site_fract_z
La1 La 0.000 0.000 0.000
Ir1 Ir 0.070 0.250 0.625
Cl1 Cl 0.000 0.000 0.500
```

Preferred: run a; penalty for the next structure: 0.336 eV/atom.

Run a
VASP calculation (PBE-GGA) on a geometry-optimized La2Ir2Cl structure.

Cell and atoms, written as CIF:
```
data_La2Ir2Cl
_space_group_name_H-M_alt 'I 4/m m m'
_space_group_IT_number 139
_space_group_name_Hall '-I 4 2'
_cell_length_a 5.501
_cell_length_b 5.501
_cell_length_c 8.348
_cell_angle_alpha 90.00
_cell_angle_beta 90.00
_cell_angle_gamma 90.00
loop_
_atom_site_label
_atom_site_type_symbol
_atom_site_fract_x
_atom_site_fract_y
_atom_site_fract_z
La1 La 0.000 0.500 0.250
Ir1 Ir 0.000 0.000 0.152
Cl1 Cl 0.000 0.000 0.500
```

Run b
VASP calculation (PBE-GGA) on a geometry-optimized La2Ir2Cl structure.

Cell and atoms, written as CIF:
```
data_La2Ir2Cl
_space_group_name_H-M_alt 'I 4/m m m'
_space_group_IT_number 139
_space_group_name_Hall '-I 4 2'
_cell_length_a 4.047
_cell_length_b 4.047
_cell_length_c 15.940
_cell_angle_alpha 90.00
_cell_angle_beta 90.00
_cell_angle_gamma 90.00
loop_
_atom_site_label
_atom_site_type_symbol
_atom_site_fract_x
_atom_site_fract_y
_atom_site_fract_z
La1 La 0.000 0.000 0.128
Ir1 Ir 0.000 0.500 0.250
Cl1 Cl 0.000 0.000 0.500
```

Preferred: run b; penalty for the next structure: 0.244 eV/atom.

Run a
VASP calculation (PBE-GGA) on a geometry-optimized LaIrCl3 structure.

Cell and atoms, written as CIF:
```
data_LaIrCl3
_space_group_name_H-M_alt 'P m -3 m'
_space_group_IT_number 221
_space_group_name_Hall '-P 4 2 3'
_cell_length_a 4.857
_cell_length_b 4.857
_cell_length_c 4.857
_cell_angle_alpha 90.00
_cell_angle_beta 90.00
_cell_angle_gamma 90.00
loop_
_atom_site_label
_atom_site_type_symbol
_atom_site_fract_x
_atom_site_fract_y
_atom_site_fract_z
La1 La 0.000 0.000 0.000
Ir1 Ir 0.500 0.500 0.500
Cl1 Cl 0.000 0.500 0.500
```

Run b
VASP calculation (PBE-GGA) on a geometry-optimized LaIrCl3 structure.

Cell and atoms, written as CIF:
```
data_LaIrCl3
_space_group_name_H-M_alt 'P m -3 m'
_space_group_IT_number 221
_space_group_name_Hall '-P 4 2 3'
_cell_length_a 5.579
_cell_length_b 5.579
_cell_length_c 5.579
_cell_angle_alpha 90.00
_cell_angle_beta 90.00
_cell_angle_gamma 90.00
loop_
_atom_site_label
_atom_site_type_symbol
_atom_site_fract_x
_atom_site_fract_y
_atom_site_fract_z
La1 La 0.000 0.000 0.000
Ir1 Ir 0.500 0.500 0.500
Cl1 Cl 0.000 0.000 0.500
```

Preferred: run a; penalty for the next structure: 0.061 eV/atom.

Run a
VASP calculation (PBE-GGA) on a geometry-optimized LaIrCl structure.

Cell and atoms, written as CIF:
```
data_LaIrCl
_space_group_name_H-M_alt 'F -4 3 m'
_space_group_IT_number 216
_space_group_name_Hall 'F -4 2 3'
_cell_length_a 6.703
_cell_length_b 6.703
_cell_length_c 6.703
_cell_angle_alpha 90.00
_cell_angle_beta 90.00
_cell_angle_gamma 90.00
loop_
_atom_site_label
_atom_site_type_symbol
_atom_site_fract_x
_atom_site_fract_y
_atom_site_fract_z
La1 La 0.000 0.000 0.000
Ir1 Ir 0.250 0.250 0.750
Cl1 Cl 0.000 0.000 0.500
```

Run b
VASP calculation (PBE-GGA) on a geometry-optimized LaIrCl structure.

Cell and atoms, written as CIF:
```
data_LaIrCl
_space_group_name_H-M_alt 'C 1 2/m 1'
_space_group_IT_number 12
_cell_length_a 7.553
_cell_length_b 4.365
_cell_length_c 10.715
_cell_angle_alpha 90.00
_cell_angle_beta 91.84
_cell_angle_gamma 90.00
loop_
_space_group_symop_operation_xyz
'x,y,z'
'-x,-y,-z'
'-x,y,-z'
'x,-y,z'
'x+1/2,y+1/2,z'
'-x+1/2,-y+1/2,-z'
'-x+1/2,y+1/2,-z'
'x+1/2,-y+1/2,z'
loop_
_atom_site_label
_atom_site_type_symbol
_atom_site_fract_x
_atom_site_fract_y
_atom_site_fract_z
La1 La 0.008 0.000 0.181
Ir1 Ir 0.166 0.500 0.995
Cl1 Cl 0.182 0.500 0.336
```

Preferred: run b; penalty for the next structure: 1.087 eV/atom.